[1]
Computed, not measured: crystalline YPaSi2 at its relaxed geometry at the PBE level of DFT.

Cell and atoms, written as POSCAR:
```
YPaSi2
1.0
-2.049 2.554 3.104
1.215 -0.308 4.334
3.276 4.488 1.749
Y Si Pa
1 2 1
direct
0.000 0.000 0.000
0.249 0.249 0.254
0.751 0.751 0.746
0.500 0.500 0.500
```

Computed properties:
Total DFT energy (no corrections) (eV/atom): -7.132
Symmetry: No. 166
Formation energy from raw total energies (eV per atom): -0.430
Total magnetic moment (μB per atom): 0.0000


[2]
Computed, not measured: crystalline HfB2TeC at its relaxed geometry at the PBE level of DFT.

Cell and atoms, written as POSCAR:
```
HfB2TeC
1.0
-1.535 -4.213 0.866
2.128 -0.011 3.721
-3.654 1.762 2.095
B Hf Te C
2 1 1 1
direct
0.500 0.000 0.000
0.000 0.000 0.500
0.000 0.000 0.000
0.500 0.500 0.500
0.000 0.500 0.000
```

Computed properties:
Total DFT energy (no corrections) (eV/atom): -5.316
Symmetry: No. 123
Formation energy from raw total energies (eV per atom): 1.819
Total magnetic moment (μB per atom): 0.0000


[3]
Computed, not measured: crystalline CaTlF5 at its relaxed geometry at the PBE level of DFT.

Cell and atoms, written as POSCAR:
```
CaTlF5
1.0
-3.610 0.818 4.552
-1.956 -5.329 1.485
3.831 -2.317 6.708
F Tl Ca
10 2 2
direct
0.665 0.299 0.454
0.792 0.694 0.647
0.299 0.665 0.954
0.861 0.139 0.750
0.208 0.306 0.353
0.335 0.701 0.546
0.139 0.861 0.250
0.701 0.335 0.046
0.694 0.792 0.147
0.306 0.208 0.853
0.540 0.460 0.750
0.460 0.540 0.250
0.000 0.000 0.500
0.000 0.000 0.000
```

Computed properties:
Total DFT energy (no corrections) (eV/atom): -4.661
Symmetry: No. 15
Formation energy from raw total energies (eV per atom): -2.700
Total magnetic moment (μB per atom): 0.0001